## P
Computed, not measured: a relaxed structure of MnMoRu at the GGA-PBE level of DFT.

Cell lengths 4.028, 4.028, 4.028 Å; angles 60.00, 60.00, 60.00 degrees
Element x y z (fractional)
Mn (0.000, 0.000, 0.000)
Mo (0.750, 0.750, 0.750)
Ru (0.250, 0.250, 0.250)

Calculated values
- SG = F-43m, No. 216
- density of states at the Fermi level (states/eV/atom) = 1.221
- total magnetization (μB/f.u.) = 0.002
- V (Å³ per atom) = 15.40

***

## Q
Computed, not measured: a relaxed structure of MnMoRu at the GGA-PBE level of DFT.

Cell lengths 4.213, 4.213, 2.674 Å; angles 90.00, 90.00, 120.00 degrees
Element x y z (fractional)
Mn (0.000, 0.000, 0.000)
Mo (0.667, 0.333, 0.000)
Ru (0.333, 0.667, 0.500)

Calculated values
- SG = P-6m2, No. 187
- density of states at the Fermi level (states/eV/atom) = 1.111
- total magnetization (μB/f.u.) = 0.000
- V (Å³ per atom) = 13.70

***

## R
Computed, not measured: a relaxed structure of MnMoRu at the GGA-PBE level of DFT.

Cell lengths 5.375, 5.375, 10.655 Å; angles 90.00, 90.00, 120.00 degrees
Element x y z (fractional)
Mn (0.221, 0.611, 0.167)
Mn (0.389, 0.611, 0.833)
Mn (0.389, 0.779, 0.500)
Mn (0.611, 0.221, 0.500)
Mn (0.611, 0.389, 0.833)
Mn (0.779, 0.389, 0.167)
Mo (0.000, 0.000, 0.167)
Mo (0.000, 0.000, 0.500)
Mo (0.000, 0.000, 0.833)
Mo (0.000, 0.500, 0.667)
Mo (0.500, 0.000, 0.000)
Mo (0.500, 0.500, 0.333)
Ru (0.000, 0.500, 0.380)
Ru (0.000, 0.500, 0.954)
Ru (0.500, 0.000, 0.287)
Ru (0.500, 0.000, 0.713)
Ru (0.500, 0.500, 0.046)
Ru (0.500, 0.500, 0.620)

Calculated values
- SG = P6_222, No. 180
- density of states at the Fermi level (states/eV/atom) = 0.941
- total magnetization (μB/f.u.) = 0.000
- V (Å³ per atom) = 14.81

***

## S
Computed, not measured: a relaxed structure of MnMoRu at the GGA-PBE level of DFT.

Cell lengths 4.990, 4.990, 4.990 Å; angles 143.77, 143.77, 52.18 degrees
Element x y z (fractional)
Mn (0.000, 0.000, 0.000)
Mo (0.336, 0.336, 0.000)
Ru (0.669, 0.669, 0.000)

Calculated values
- SG = I4mm, No. 107
- density of states at the Fermi level (states/eV/atom) = 0.670
- total magnetization (μB/f.u.) = 3.239
- V (Å³ per atom) = 14.38

***

S (0.074 eV/atom below the next structure)

***

## P
Computed, not measured: a relaxed structure of MnMoRu4 at the GGA-PBE level of DFT.

Cell lengths 5.284, 5.284, 6.434 Å; angles 102.30, 102.30, 78.53 degrees
Element x y z (fractional)
Mn (0.132, 0.132, 0.333)
Mn (0.868, 0.868, 0.667)
Mo (0.432, 0.432, 0.683)
Mo (0.568, 0.568, 0.317)
Ru (0.062, 0.638, 0.335)
Ru (0.207, 0.793, 0.000)
Ru (0.284, 0.284, 0.029)
Ru (0.362, 0.938, 0.665)
Ru (0.638, 0.062, 0.335)
Ru (0.716, 0.716, 0.971)
Ru (0.793, 0.207, 0.000)
Ru (0.938, 0.362, 0.665)

Calculated values
- SG = C2/m, No. 12
- density of states at the Fermi level (states/eV/atom) = 0.912
- total magnetization (μB/f.u.) = 2.117
- V (Å³ per atom) = 14.10

***

## Q
Computed, not measured: a relaxed structure of MnMoRu4 at the GGA-PBE level of DFT.

Cell lengths 5.052, 5.052, 5.052 Å; angles 60.00, 60.00, 60.00 degrees
Element x y z (fractional)
Mn (0.000, 0.000, 0.000)
Mo (0.750, 0.750, 0.750)
Ru (0.375, 0.375, 0.375)
Ru (0.375, 0.375, 0.876)
Ru (0.375, 0.876, 0.375)
Ru (0.876, 0.375, 0.375)

Calculated values
- SG = F-43m, No. 216
- density of states at the Fermi level (states/eV/atom) = 1.290
- total magnetization (μB/f.u.) = 4.066
- V (Å³ per atom) = 15.20

***

P (0.300 eV/atom below the next structure)

***

## P
Computed, not measured: a relaxed structure of MnMo3S at the GGA-PBE level of DFT.

Cell lengths 4.364, 4.364, 4.364 Å; angles 90.00, 90.00, 90.00 degrees
Element x y z (fractional)
Mn (0.000, 0.000, 0.000)
Mo (0.000, 0.500, 0.500)
Mo (0.500, 0.000, 0.500)
Mo (0.500, 0.500, 0.000)
S (0.500, 0.500, 0.500)

Calculated values
- SG = Pm-3m, No. 221
- density of states at the Fermi level (states/eV/atom) = 1.206
- total magnetization (μB/f.u.) = 0.000
- V (Å³ per atom) = 16.62

***

## Q
Computed, not measured: a relaxed structure of MnMo3S at the GGA-PBE level of DFT.

Cell lengths 4.480, 4.480, 4.480 Å; angles 90.00, 90.00, 90.00 degrees
Element x y z (fractional)
Mn (0.000, 0.000, 0.000)
Mo (0.000, 0.000, 0.500)
Mo (0.000, 0.500, 0.000)
Mo (0.500, 0.000, 0.000)
S (0.500, 0.500, 0.500)

Calculated values
- SG = Pm-3m, No. 221
- density of states at the Fermi level (states/eV/atom) = 1.231
- total magnetization (μB/f.u.) = 0.000
- V (Å³ per atom) = 17.98

***

P (0.496 eV/atom below the next structure)

***

## P
Computed, not measured: a relaxed structure of Mn3MoS at the GGA-PBE level of DFT.

Cell lengths 4.091, 4.091, 4.091 Å; angles 90.00, 90.00, 90.00 degrees
Element x y z (fractional)
Mn (0.000, 0.000, 0.500)
Mn (0.000, 0.500, 0.000)
Mn (0.500, 0.000, 0.000)
Mo (0.500, 0.500, 0.500)
S (0.000, 0.000, 0.000)

Calculated values
- SG = Pm-3m, No. 221
- density of states at the Fermi level (states/eV/atom) = 1.726
- total magnetization (μB/f.u.) = 1.467
- V (Å³ per atom) = 13.69

***

## Q
Computed, not measured: a relaxed structure of Mn3MoS at the GGA-PBE level of DFT.

Cell lengths 4.646, 4.646, 4.646 Å; angles 90.00, 90.00, 90.00 degrees
Element x y z (fractional)
Mn (0.000, 0.000, 0.500)
Mn (0.000, 0.500, 0.000)
Mn (0.500, 0.000, 0.000)
Mo (0.000, 0.000, 0.000)
S (0.500, 0.500, 0.500)

Calculated values
- SG = Pm-3m, No. 221
- density of states at the Fermi level (states/eV/atom) = 1.125
- total magnetization (μB/f.u.) = 8.392
- V (Å³ per atom) = 20.06

***

P (0.883 eV/atom below the next structure)

***

## P
Computed, not measured: a relaxed structure of ScMnMo at the GGA-PBE level of DFT.

Cell lengths 5.481, 5.481, 5.481 Å; angles 147.57, 147.57, 46.52 degrees
Element x y z (fractional)
Sc (0.000, 0.000, 0.000)
Mn (0.323, 0.323, 0.000)
Mo (0.694, 0.694, 0.000)

Calculated values
- SG = I4mm, No. 107
- density of states at the Fermi level (states/eV/atom) = 0.681
- total magnetization (μB/f.u.) = 0.000
- V (Å³ per atom) = 15.72

***

## Q
Computed, not measured: a relaxed structure of ScMnMo at the GGA-PBE level of DFT.

Cell lengths 5.129, 5.129, 5.129 Å; angles 119.71, 118.18, 91.84 degrees
Element x y z (fractional)
Sc (0.370, 0.120, 0.250)
Sc (0.630, 0.880, 0.750)
Mn (0.000, 0.000, 0.500)
Mn (0.000, 0.500, 0.000)
Mo (0.000, 0.500, 0.500)
Mo (0.500, 0.500, 0.000)

Calculated values
- SG = Imma, No. 74
- density of states at the Fermi level (states/eV/atom) = 0.928
- total magnetization (μB/f.u.) = 0.001
- V (Å³ per atom) = 16.15

***

Q (0.073 eV/atom below the next structure)

***

## P
Computed, not measured: a relaxed structure of ScMn3Mo at the GGA-PBE level of DFT.

Cell lengths 4.574, 4.574, 4.574 Å; angles 90.00, 90.00, 90.00 degrees
Element x y z (fractional)
Sc (0.000, 0.000, 0.000)
Mn (0.000, 0.500, 0.500)
Mn (0.500, 0.000, 0.500)
Mn (0.500, 0.500, 0.000)
Mo (0.500, 0.500, 0.500)

Calculated values
- SG = Pm-3m, No. 221
- density of states at the Fermi level (states/eV/atom) = 1.615
- total magnetization (μB/f.u.) = 7.066
- V (Å³ per atom) = 19.14

***

## Q
Computed, not measured: a relaxed structure of ScMn3Mo at the GGA-PBE level of DFT.

Cell lengths 4.211, 4.211, 4.211 Å; angles 90.00, 90.00, 90.00 degrees
Element x y z (fractional)
Sc (0.000, 0.000, 0.000)
Mn (0.000, 0.000, 0.500)
Mn (0.000, 0.500, 0.000)
Mn (0.500, 0.000, 0.000)
Mo (0.500, 0.500, 0.500)

Calculated values
- SG = Pm-3m, No. 221
- density of states at the Fermi level (states/eV/atom) = 1.675
- total magnetization (μB/f.u.) = 0.004
- V (Å³ per atom) = 14.93

***

P (0.878 eV/atom below the next structure)

***

## P
Computed, not measured: a relaxed structure of MnMo2Se2 at the GGA-PBE level of DFT.

Cell lengths 6.995, 6.995, 3.169 Å; angles 90.00, 90.00, 90.00 degrees
Element x y z (fractional)
Mn (0.000, 0.000, 0.000)
Mn (0.500, 0.500, 0.000)
Mo (0.147, 0.353, 0.500)
Mo (0.353, 0.853, 0.500)
Mo (0.647, 0.147, 0.500)
Mo (0.853, 0.647, 0.500)
Se (0.159, 0.659, 0.000)
Se (0.341, 0.159, 0.000)
Se (0.659, 0.841, 0.000)
Se (0.841, 0.341, 0.000)

Calculated values
- SG = P4/mbm, No. 127
- density of states at the Fermi level (states/eV/atom) = 1.589
- total magnetization (μB/f.u.) = 0.000
- V (Å³ per atom) = 15.51

***

## Q
Computed, not measured: a relaxed structure of MnMo2Se2 at the GGA-PBE level of DFT.

Cell lengths 5.709, 5.709, 5.709 Å; angles 134.23, 134.23, 66.72 degrees
Element x y z (fractional)
Mn (0.000, 0.000, 0.000)
Mo (0.250, 0.750, 0.500)
Mo (0.750, 0.250, 0.500)
Se (0.364, 0.364, 0.000)
Se (0.636, 0.636, 0.000)

Calculated values
- SG = I4/mmm, No. 139
- density of states at the Fermi level (states/eV/atom) = 0.781
- total magnetization (μB/f.u.) = 3.507
- V (Å³ per atom) = 18.80

***

Q (0.146 eV/atom below the next structure)

***

## P
Computed, not measured: a relaxed structure of MnSi2Mo2 at the GGA-PBE level of DFT.

Cell lengths 7.137, 7.137, 7.137 Å; angles 152.85, 152.85, 38.77 degrees
Element x y z (fractional)
Mn (0.000, 0.000, 0.000)
Si (0.250, 0.750, 0.500)
Si (0.750, 0.250, 0.500)
Mo (0.393, 0.393, 0.000)
Mo (0.607, 0.607, 0.000)

Calculated values
- SG = I4/mmm, No. 139
- density of states at the Fermi level (states/eV/atom) = 0.826
- total magnetization (μB/f.u.) = 1.746
- V (Å³ per atom) = 15.11

***

## Q
Computed, not measured: a relaxed structure of MnSi2Mo2 at the GGA-PBE level of DFT.

Cell lengths 6.071, 6.071, 3.714 Å; angles 90.00, 90.00, 90.00 degrees
Element x y z (fractional)
Mn (0.000, 0.000, 0.000)
Mn (0.500, 0.500, 0.000)
Si (0.138, 0.362, 0.000)
Si (0.362, 0.862, 0.000)
Si (0.638, 0.138, 0.000)
Si (0.862, 0.638, 0.000)
Mo (0.168, 0.668, 0.500)
Mo (0.332, 0.168, 0.500)
Mo (0.668, 0.832, 0.500)
Mo (0.832, 0.332, 0.500)

Calculated values
- SG = P4/mbm, No. 127
- density of states at the Fermi level (states/eV/atom) = 0.722
- total magnetization (μB/f.u.) = 1.462
- V (Å³ per atom) = 13.69

***

Q (0.403 eV/atom below the next structure)

***

## P
Computed, not measured: a relaxed structure of SrMnMo2 at the GGA-PBE level of DFT.

Cell lengths 2.953, 4.143, 7.019 Å; angles 90.00, 101.51, 90.00 degrees
Element x y z (fractional)
Sr (0.000, 0.000, 0.000)
Mn (0.743, 0.500, 0.333)
Mo (0.232, 0.500, 0.669)
Mo (0.435, 0.000, 0.502)

Calculated values
- SG = Pm, No. 6
- density of states at the Fermi level (states/eV/atom) = 1.124
- total magnetization (μB/f.u.) = 3.259
- V (Å³ per atom) = 21.03

***

## Q
Computed, not measured: a relaxed structure of SrMnMo2 at the GGA-PBE level of DFT.

Cell lengths 5.151, 5.151, 2.813 Å; angles 90.00, 90.00, 90.00 degrees
Element x y z (fractional)
Sr (0.000, 0.000, 0.000)
Mn (0.500, 0.500, 0.000)
Mo (0.000, 0.500, 0.500)
Mo (0.500, 0.000, 0.500)

Calculated values
- SG = P4/mmm, No. 123
- density of states at the Fermi level (states/eV/atom) = 1.366
- total magnetization (μB/f.u.) = 2.472
- V (Å³ per atom) = 18.66

***

P (0.648 eV/atom below the next structure)

***

## P
Computed, not measured: a relaxed structure of SrMnMo2 at the GGA-PBE level of DFT.

Cell lengths 2.977, 2.977, 8.470 Å; angles 90.00, 90.00, 90.00 degrees
Element x y z (fractional)
Sr (0.000, 0.000, 0.000)
Mn (0.000, 0.000, 0.500)
Mo (0.500, 0.500, 0.326)
Mo (0.500, 0.500, 0.674)

Calculated values
- SG = P4/mmm, No. 123
- density of states at the Fermi level (states/eV/atom) = 1.294
- total magnetization (μB/f.u.) = 0.685
- V (Å³ per atom) = 18.76

***

## Q
Computed, not measured: a relaxed structure of SrMnMo2 at the GGA-PBE level of DFT.

Cell lengths 5.656, 5.656, 5.656 Å; angles 139.04, 139.04, 59.32 degrees
Element x y z (fractional)
Sr (0.000, 0.000, 0.000)
Mn (0.500, 0.500, 0.000)
Mo (0.250, 0.750, 0.500)
Mo (0.750, 0.250, 0.500)

Calculated values
- SG = I4/mmm, No. 139
- density of states at the Fermi level (states/eV/atom) = 1.209
- total magnetization (μB/f.u.) = 3.083
- V (Å³ per atom) = 19.25

***

P (0.354 eV/atom below the next structure)

***

## P
Computed, not measured: a relaxed structure of SrMn3Mo at the GGA-PBE level of DFT.

Cell lengths 4.842, 4.842, 4.842 Å; angles 90.00, 90.00, 90.00 degrees
Element x y z (fractional)
Sr (0.000, 0.000, 0.000)
Mn (0.000, 0.500, 0.500)
Mn (0.500, 0.000, 0.500)
Mn (0.500, 0.500, 0.000)
Mo (0.500, 0.500, 0.500)

Calculated values
- SG = Pm-3m, No. 221
- density of states at the Fermi level (states/eV/atom) = 1.468
- total magnetization (μB/f.u.) = 9.579
- V (Å³ per atom) = 22.70

***

## Q
Computed, not measured: a relaxed structure of SrMn3Mo at the GGA-PBE level of DFT.

Cell lengths 4.849, 4.849, 4.849 Å; angles 90.00, 90.00, 90.00 degrees
Element x y z (fractional)
Sr (0.000, 0.000, 0.000)
Mn (0.000, 0.000, 0.500)
Mn (0.000, 0.500, 0.000)
Mn (0.500, 0.000, 0.000)
Mo (0.500, 0.500, 0.500)

Calculated values
- SG = Pm-3m, No. 221
- density of states at the Fermi level (states/eV/atom) = 0.841
- total magnetization (μB/f.u.) = 7.693
- V (Å³ per atom) = 22.80

***

P (1.570 eV/atom below the next structure)

***

## P
Computed, not measured: a relaxed structure of SrMnMo3 at the GGA-PBE level of DFT.

Cell lengths 4.658, 4.658, 4.658 Å; angles 90.00, 90.00, 90.00 degrees
Element x y z (fractional)
Sr (0.000, 0.000, 0.000)
Mn (0.500, 0.500, 0.500)
Mo (0.000, 0.500, 0.500)
Mo (0.500, 0.000, 0.500)
Mo (0.500, 0.500, 0.000)

Calculated values
- SG = Pm-3m, No. 221
- density of states at the Fermi level (states/eV/atom) = 1.320
- total magnetization (μB/f.u.) = 1.110
- V (Å³ per atom) = 20.21

***

## Q
Computed, not measured: a relaxed structure of SrMnMo3 at the GGA-PBE level of DFT.

Cell lengths 4.678, 4.678, 4.678 Å; angles 90.00, 90.00, 90.00 degrees
Element x y z (fractional)
Sr (0.000, 0.000, 0.000)
Mn (0.500, 0.500, 0.500)
Mo (0.000, 0.000, 0.500)
Mo (0.000, 0.500, 0.000)
Mo (0.500, 0.000, 0.000)

Calculated values
- SG = Pm-3m, No. 221
- density of states at the Fermi level (states/eV/atom) = 2.243
- total magnetization (μB/f.u.) = 0.275
- V (Å³ per atom) = 20.47

***

P (2.365 eV/atom below the next structure)

***

## P
Computed, not measured: a relaxed structure of Ta4MnMo at the GGA-PBE level of DFT.

Cell lengths 3.180, 3.180, 9.813 Å; angles 90.00, 90.00, 90.00 degrees
Element x y z (fractional)
Ta (0.000, 0.000, 0.152)
Ta (0.000, 0.000, 0.848)
Ta (0.500, 0.500, 0.337)
Ta (0.500, 0.500, 0.663)
Mn (0.500, 0.500, 0.000)
Mo (0.000, 0.000, 0.500)

Calculated values
- SG = P4/mmm, No. 123
- density of states at the Fermi level (states/eV/atom) = 0.845
- total magnetization (μB/f.u.) = 0.000
- V (Å³ per atom) = 16.54

***

## Q
Computed, not measured: a relaxed structure of Ta4MnMo at the GGA-PBE level of DFT.

Cell lengths 5.374, 5.374, 5.374 Å; angles 60.00, 60.00, 60.00 degrees
Element x y z (fractional)
Ta (0.376, 0.376, 0.376)
Ta (0.376, 0.376, 0.873)
Ta (0.376, 0.873, 0.376)
Ta (0.873, 0.376, 0.376)
Mn (0.000, 0.000, 0.000)
Mo (0.750, 0.750, 0.750)

Calculated values
- SG = F-43m, No. 216
- density of states at the Fermi level (states/eV/atom) = 1.003
- total magnetization (μB/f.u.) = 2.143
- V (Å³ per atom) = 18.29

***

P (0.631 eV/atom below the next structure)